Entry 1:
# MnPO3, relaxed, DFT GGA+U
# E_tot, eV for the cell shown: -144.2
data_MnPO3
_cell_length_a 12.018
_cell_length_b 3.334
_cell_length_c 5.899
_cell_angle_alpha 90.00
_cell_angle_beta 98.89
_cell_angle_gamma 90.00
_symmetry_space_group_name_H-M 'C 1 2/m 1'
_symmetry_Int_Tables_number 12
loop_
_symmetry_equiv_pos_as_xyz
'x,y,z'
'-x,-y,-z'
'-x,y,-z'
'x,-y,z'
'x+1/2,y+1/2,z'
'-x+1/2,-y+1/2,-z'
'-x+1/2,y+1/2,-z'
'x+1/2,-y+1/2,z'
loop_
_atom_site_label
_atom_site_type_symbol
_atom_site_fract_x
_atom_site_fract_y
_atom_site_fract_z
_atom_site_occupancy
Mn1 Mn 0.132 0.000 0.331 1
P1 P 0.116 0.500 0.838 1
O1 O 0.013 0.500 0.266 1
O2 O 0.137 0.000 0.948 1
O3 O 0.183 0.500 0.624 1

---

Entry 2:
# MnP2O2, relaxed, DFT GGA+U
# Offset from the most stable computed form, meV/atom: 0
# E_tot, eV for the cell shown: -31.0
data_MnP2O2
_cell_length_a 3.520
_cell_length_b 3.520
_cell_length_c 4.836
_cell_angle_alpha 90.00
_cell_angle_beta 90.00
_cell_angle_gamma 90.00
_symmetry_space_group_name_H-M 'P 4/m m m'
_symmetry_Int_Tables_number 123
_symmetry_space_group_name_Hall '-P 4 2'
loop_
_atom_site_label
_atom_site_type_symbol
_atom_site_fract_x
_atom_site_fract_y
_atom_site_fract_z
_atom_site_occupancy
Mn1 Mn 0.000 0.000 0.000 1
P1 P 0.500 0.500 0.000 1
P2 P 0.500 0.500 0.500 1
O1 O 0.000 0.500 0.500 1

---

Entry 3:
# Mn3P4O14, relaxed, DFT GGA+U
# E_tot, eV for the cell shown: -311.0
data_Mn3P4O14
_cell_length_a 7.665
_cell_length_b 8.395
_cell_length_c 10.072
_cell_angle_alpha 107.68
_cell_angle_beta 95.95
_cell_angle_gamma 107.90
_symmetry_space_group_name_H-M 'P -1'
_symmetry_Int_Tables_number 2
loop_
_symmetry_equiv_pos_as_xyz
'x,y,z'
'-x,-y,-z'
loop_
_atom_site_label
_atom_site_type_symbol
_atom_site_fract_x
_atom_site_fract_y
_atom_site_fract_z
_atom_site_occupancy
Mn1 Mn 0.172 0.178 0.243 1
Mn2 Mn 0.276 0.842 0.294 1
Mn3 Mn 0.309 0.533 0.781 1
P1 P 0.156 0.821 0.968 1
P2 P 0.246 0.441 0.070 1
P3 P 0.266 0.596 0.477 1
P4 P 0.359 0.195 0.563 1
O1 O 0.022 0.357 0.053 1
O2 O 0.094 0.926 0.889 1
O3 O 0.158 0.401 0.390 1
O4 O 0.189 0.723 0.428 1
O5 O 0.217 0.930 0.134 1
O6 O 0.239 0.290 0.642 1
O7 O 0.248 0.073 0.405 1
O8 O 0.282 0.414 0.919 1
O9 O 0.290 0.641 0.640 1
O10 O 0.294 0.637 0.157 1
O11 O 0.309 0.751 0.920 1
O12 O 0.345 0.348 0.144 1
O13 O 0.440 0.088 0.630 1
O14 O 0.479 0.639 0.452 1

---

Entry 4:
# Mn2PO5, relaxed, DFT GGA+U
# Offset from the most stable computed form, meV/atom: 60
# E_tot, eV for the cell shown: -242.1
data_Mn2PO5
_cell_length_a 8.683
_cell_length_b 6.419
_cell_length_c 6.489
_cell_angle_alpha 90.00
_cell_angle_beta 102.73
_cell_angle_gamma 90.00
_symmetry_space_group_name_H-M 'P 1 21/c 1'
_symmetry_Int_Tables_number 14
loop_
_symmetry_equiv_pos_as_xyz
'x,y,z'
'-x,-y,-z'
'-x,y+1/2,-z+1/2'
'x,-y+1/2,z+1/2'
loop_
_atom_site_label
_atom_site_type_symbol
_atom_site_fract_x
_atom_site_fract_y
_atom_site_fract_z
_atom_site_occupancy
Mn1 Mn 0.011 0.146 0.223 1
Mn2 Mn 0.346 0.122 0.001 1
P1 P 0.291 0.591 0.999 1
O1 O 0.097 0.109 0.876 1
O2 O 0.123 0.667 0.025 1
O3 O 0.249 0.035 0.285 1
O4 O 0.361 0.072 0.668 1
O5 O 0.397 0.720 0.493 1

---

Entry 5:
# Mn3P4O16, relaxed, DFT GGA+U
# E_tot, eV for the cell shown: -652.0
data_Mn3P4O16
_cell_length_a 19.817
_cell_length_b 6.311
_cell_length_c 10.939
_cell_angle_alpha 90.00
_cell_angle_beta 90.84
_cell_angle_gamma 90.00
_symmetry_space_group_name_H-M 'C 1 2/c 1'
_symmetry_Int_Tables_number 15
loop_
_symmetry_equiv_pos_as_xyz
'x,y,z'
'-x,-y,-z'
'-x,y,-z+1/2'
'x,-y,z+1/2'
'x+1/2,y+1/2,z'
'-x+1/2,-y+1/2,-z'
'-x+1/2,y+1/2,-z+1/2'
'x+1/2,-y+1/2,z+1/2'
loop_
_atom_site_label
_atom_site_type_symbol
_atom_site_fract_x
_atom_site_fract_y
_atom_site_fract_z
_atom_site_occupancy
Mn1 Mn 0.159 0.003 0.248 1
Mn2 Mn 0.250 0.250 0.000 1
P1 P 0.094 0.151 0.996 1
P2 P 0.203 0.497 0.749 1
O1 O 0.027 0.267 0.992 1
O2 O 0.097 0.011 0.114 1
O3 O 0.098 0.004 0.881 1
O4 O 0.156 0.303 0.997 1
O5 O 0.159 0.303 0.729 1
O6 O 0.159 0.309 0.267 1
O7 O 0.243 0.024 0.857 1
O8 O 0.243 0.029 0.143 1

---

Entry 6:
# MnP3O9, relaxed, DFT GGA+U
# Offset from the most stable computed form, meV/atom: 0
# E_tot, eV for the cell shown: -378.5
data_MnP3O9
_cell_length_a 13.246
_cell_length_b 6.604
_cell_length_c 9.532
_cell_angle_alpha 90.00
_cell_angle_beta 125.13
_cell_angle_gamma 90.00
_symmetry_space_group_name_H-M 'C 1 c 1'
_symmetry_Int_Tables_number 9
loop_
_symmetry_equiv_pos_as_xyz
'x,y,z'
'x,-y,z+1/2'
'x+1/2,y+1/2,z'
'x+1/2,-y+1/2,z+1/2'
loop_
_atom_site_label
_atom_site_type_symbol
_atom_site_fract_x
_atom_site_fract_y
_atom_site_fract_z
_atom_site_occupancy
Mn1 Mn 0.000 0.240 0.000 1
P1 P 0.145 0.107 0.835 1
P2 P 0.246 0.452 0.741 1
P3 P 0.359 0.098 0.673 1
O1 O 0.036 0.129 0.846 1
O2 O 0.124 0.026 0.194 1
O3 O 0.152 0.409 0.103 1
O4 O 0.183 0.329 0.816 1
O5 O 0.265 0.045 0.016 1
O6 O 0.274 0.291 0.641 1
O7 O 0.361 0.459 0.395 1
O8 O 0.400 0.005 0.337 1
O9 O 0.461 0.162 0.655 1

---

Entry 7:
# MnP3O9, relaxed, DFT GGA+U
# Offset from the most stable computed form, meV/atom: 5
# E_tot, eV for the cell shown: -378.3
data_MnP3O9
_cell_length_a 8.421
_cell_length_b 8.444
_cell_length_c 8.989
_cell_angle_alpha 90.00
_cell_angle_beta 90.00
_cell_angle_gamma 90.00
_symmetry_space_group_name_H-M 'P 21 21 21'
_symmetry_Int_Tables_number 19
loop_
_symmetry_equiv_pos_as_xyz
'x,y,z'
'-x+1/2,-y,z+1/2'
'x+1/2,-y+1/2,-z'
'-x,y+1/2,-z+1/2'
loop_
_atom_site_label
_atom_site_type_symbol
_atom_site_fract_x
_atom_site_fract_y
_atom_site_fract_z
_atom_site_occupancy
Mn1 Mn 0.139 0.138 0.352 1
P1 P 0.034 0.678 0.806 1
P2 P 0.175 0.508 0.304 1
P3 P 0.204 0.197 0.943 1
O1 O 0.043 0.228 0.850 1
O2 O 0.088 0.117 0.589 1
O3 O 0.091 0.591 0.178 1
O4 O 0.096 0.365 0.373 1
O5 O 0.135 0.815 0.861 1
O6 O 0.151 0.539 0.746 1
O7 O 0.161 0.166 0.100 1
O8 O 0.189 0.913 0.356 1
O9 O 0.213 0.630 0.436 1

---

Entry 8:
# MnP2O2, relaxed, DFT GGA+U
# Offset from the most stable computed form, meV/atom: 1313
# E_tot, eV for the cell shown: -24.4
data_MnP2O2
_cell_length_a 4.402
_cell_length_b 4.402
_cell_length_c 3.409
_cell_angle_alpha 90.00
_cell_angle_beta 90.00
_cell_angle_gamma 90.00
_symmetry_space_group_name_H-M 'P 4/m m m'
_symmetry_Int_Tables_number 123
_symmetry_space_group_name_Hall '-P 4 2'
loop_
_atom_site_label
_atom_site_type_symbol
_atom_site_fract_x
_atom_site_fract_y
_atom_site_fract_z
_atom_site_occupancy
Mn1 Mn 0.000 0.000 0.000 1
P1 P 0.000 0.500 0.000 1
O1 O 0.000 0.000 0.500 1
O2 O 0.500 0.500 0.500 1

---

Entry 9:
# Mn2PO5, relaxed, DFT GGA+U
# Offset from the most stable computed form, meV/atom: 27
# E_tot, eV for the cell shown: -243.1
data_Mn2PO5
_cell_length_a 7.845
_cell_length_b 12.452
_cell_length_c 5.548
_cell_angle_alpha 90.00
_cell_angle_beta 134.82
_cell_angle_gamma 90.00
_symmetry_space_group_name_H-M 'C 1 2/c 1'
_symmetry_Int_Tables_number 15
loop_
_symmetry_equiv_pos_as_xyz
'x,y,z'
'-x,-y,-z'
'-x,y,-z+1/2'
'x,-y,z+1/2'
'x+1/2,y+1/2,z'
'-x+1/2,-y+1/2,-z'
'-x+1/2,y+1/2,-z+1/2'
'x+1/2,-y+1/2,z+1/2'
loop_
_atom_site_label
_atom_site_type_symbol
_atom_site_fract_x
_atom_site_fract_y
_atom_site_fract_z
_atom_site_occupancy
Mn1 Mn 0.000 0.000 0.000 1
Mn2 Mn 0.250 0.250 0.000 1
P1 P 0.000 0.373 0.250 1
O1 O 0.000 0.115 0.750 1
O2 O 0.000 0.305 0.016 1
O3 O 0.236 0.441 0.485 1

---

Entry 10:
# Mn3P2O8, relaxed, DFT GGA+U
# Offset from the most stable computed form, meV/atom: 0
# E_tot, eV for the cell shown: -200.9
data_Mn3P2O8
_cell_length_a 5.255
_cell_length_b 8.795
_cell_length_c 9.266
_cell_angle_alpha 90.00
_cell_angle_beta 121.31
_cell_angle_gamma 90.00
_symmetry_space_group_name_H-M 'P 1 21/c 1'
_symmetry_Int_Tables_number 14
loop_
_symmetry_equiv_pos_as_xyz
'x,y,z'
'-x,-y,-z'
'-x,y+1/2,-z+1/2'
'x,-y+1/2,z+1/2'
loop_
_atom_site_label
_atom_site_type_symbol
_atom_site_fract_x
_atom_site_fract_y
_atom_site_fract_z
_atom_site_occupancy
Mn1 Mn 0.000 0.000 0.000 1
Mn2 Mn 0.033 0.144 0.618 1
P1 P 0.325 0.693 0.295 1
O1 O 0.180 0.580 0.143 1
O2 O 0.185 0.646 0.736 1
O3 O 0.251 0.644 0.430 1
O4 O 0.334 0.193 0.130 1

---

Entry 11:
# MnPO3, relaxed, DFT GGA+U
# E_tot, eV for the cell shown: -33.3
data_MnPO3
_cell_length_a 3.629
_cell_length_b 3.629
_cell_length_c 3.629
_cell_angle_alpha 90.00
_cell_angle_beta 90.00
_cell_angle_gamma 90.00
_symmetry_space_group_name_H-M 'P m -3 m'
_symmetry_Int_Tables_number 221
_symmetry_space_group_name_Hall '-P 4 2 3'
loop_
_atom_site_label
_atom_site_type_symbol
_atom_site_fract_x
_atom_site_fract_y
_atom_site_fract_z
_atom_site_occupancy
Mn1 Mn 0.000 0.000 0.000 1
P1 P 0.500 0.500 0.500 1
O1 O 0.000 0.500 0.500 1

---

Entry 12:
# Mn3P2O8, relaxed, DFT GGA+U
# Offset from the most stable computed form, meV/atom: 4
# E_tot, eV for the cell shown: -200.8
data_Mn3P2O8
_cell_length_a 6.264
_cell_length_b 4.954
_cell_length_c 10.736
_cell_angle_alpha 90.00
_cell_angle_beta 90.14
_cell_angle_gamma 90.00
_symmetry_space_group_name_H-M 'P 1 21/c 1'
_symmetry_Int_Tables_number 14
loop_
_symmetry_equiv_pos_as_xyz
'x,y,z'
'-x,-y,-z'
'-x,y+1/2,-z+1/2'
'x,-y+1/2,z+1/2'
loop_
_atom_site_label
_atom_site_type_symbol
_atom_site_fract_x
_atom_site_fract_y
_atom_site_fract_z
_atom_site_occupancy
Mn1 Mn 0.000 0.000 0.000 1
Mn2 Mn 0.265 0.012 0.717 1
P1 P 0.238 0.569 0.898 1
O1 O 0.037 0.719 0.839 1
O2 O 0.219 0.242 0.391 1
O3 O 0.246 0.674 0.035 1
O4 O 0.427 0.674 0.819 1

---

What is the formula in the sixth record? MnP3O9